A relaxed La3ZnN crystal. Source: Alexandria, functional PBE-GGA.

Structure (extended XYZ):
```
5
Lattice="3.466 0.000 0.000 0.000 3.858 7.411 0.000 -3.858 7.411" Properties=species:S:1:pos:R:3 pbc="T T T"
La 0.000 0.000 0.000
La 1.733 -2.167 4.698
La 1.733 2.167 4.698
Zn 1.733 0.000 2.501
N 0.000 0.000 12.171
```

Results
As for the distance to the lowest polymorph of the same formula: 0.583 eV/atom. The calculation puts the uncorrected formation energy at -0.11 eV per atom. For the mass density, the calculation gives 4.2 g/cm3. The calculated volume comes out at 198.2 Å³/cell. As for the raw total energy: -4.989 eV per atom. As for the space group: Amm2 (38).